Below is crystalline CsTl2SiSe4 at its relaxed geometry, with properties calculated at the PBE-GGA level.

Results
Energy, eV/atom: -3.4400
E_form (uncorrected), eV/atom: -0.322
Density, g cm⁻³: 5.12
Space group: No. 15

Lattice parameters (Å, degrees): 9.093 9.093 10.849 126.61 126.61 73.60
Positions (direct):
Cs 0.000 0.500 0.000
Cs 0.000 0.500 0.500
Tl 0.500 0.000 0.000
Tl 0.500 0.000 0.500
Tl 0.000 0.000 0.500
Tl 0.500 0.500 0.000
Si 0.500 0.500 0.500
Si 0.000 0.000 0.000
Se 0.239 0.813 0.027
Se 0.687 0.261 0.473
Se 0.313 0.739 0.527
Se 0.761 0.187 0.973
Se 0.997 0.999 0.213
Se 0.501 0.503 0.287
Se 0.499 0.497 0.713
Se 0.003 0.001 0.787



Below is crystalline Cs2Tl2SiSe4 at its relaxed geometry, with properties calculated at the PBE-GGA level.

Results
Energy, eV/atom: -3.4559
E_form (uncorrected), eV/atom: -0.589
Density, g cm⁻³: 5.53
Space group: No. 12

Lattice parameters (Å, degrees): 6.221 7.437 7.437 65.86 100.86 100.86
Positions (direct):
Cs 0.291 0.637 0.637
Cs 0.709 0.363 0.363
Tl 0.131 0.154 0.154
Tl 0.869 0.846 0.846
Si 0.500 0.000 0.000
Se 0.262 0.693 0.117
Se 0.738 0.883 0.307
Se 0.738 0.307 0.883
Se 0.262 0.117 0.693



Below is crystalline CsTmSiSe4 at its relaxed geometry, with properties calculated at the PBE-GGA level.

Results
Energy, eV/atom: -4.7524
E_form (uncorrected), eV/atom: -1.226
Density, g cm⁻³: 4.93
Space group: No. 11

Lattice parameters (Å, degrees): 6.624 7.068 9.819 90.00 108.71 90.00
Positions (direct):
Cs 0.747 0.750 0.941
Cs 0.253 0.250 0.059
Tm 0.775 0.750 0.454
Tm 0.225 0.250 0.546
Si 0.221 0.750 0.343
Si 0.779 0.250 0.657
Se 0.012 0.502 0.693
Se 0.988 0.002 0.307
Se 0.988 0.498 0.307
Se 0.012 0.998 0.693
Se 0.418 0.750 0.191
Se 0.582 0.250 0.809
Se 0.439 0.750 0.573
Se 0.561 0.250 0.427



Below is crystalline Cs2VSiSe4 at its relaxed geometry, with properties calculated at the PBE-GGA level.

Results
Energy, eV/atom: -4.5768
E_form (uncorrected), eV/atom: -0.803
Density, g cm⁻³: 3.67
Space group: No. 70

Lattice parameters (Å, degrees): 6.661 7.792 13.178 83.80 75.36 64.70
Site moments in Bohr magnetons follow the coordinates.
Positions (direct):
Cs 0.178 0.000 0.645  0.00
Cs 0.822 0.000 0.355  0.00
Cs 0.572 0.500 0.855  0.00
Cs 0.928 0.500 0.145  0.00
V 0.750 0.500 0.500  1.10
V 0.000 0.000 0.000  1.10
Si 0.250 0.500 0.500  -0.04
Si 0.500 0.000 0.000  -0.04
Se 0.285 0.825 0.097  -0.03
Se 0.207 0.175 0.903  -0.03
Se 0.890 0.825 0.903  -0.03
Se 0.618 0.175 0.097  -0.03
Se 0.465 0.675 0.403  -0.03
Se 0.543 0.325 0.597  -0.03
Se 0.860 0.675 0.597  -0.03
Se 0.132 0.325 0.403  -0.03